Record 1
Here is a relaxed structure of CeGd2Pd from Alexandria. Energies are from GGA-PBE.

Cell lengths 5.1853, 5.1853, 5.1880 Å; angles 60.02, 60.02, 60.00 degrees
Closest atoms and distances in Å follow each position.
Sites, in units of the cell vectors:
Gd1 0.2501 0.2501 0.2498  4 Pd 3.18, 4 Ce 3.18
Gd2 0.7499 0.7499 0.7502  4 Pd 3.18, 4 Ce 3.18
Pd1 0.0000 0.0000 0.0000  8 Gd 3.18
Ce1 0.5000 0.5000 0.5000  8 Gd 3.18

Summary:
The uncorrected energy is -39.786 eV per formula unit. Its space-group type is Fm-3m. Its magnetization is 16.40 μB per cell. As for the density of states at the Fermi level: 7.4 states/eV/cell. The energy of formation from the pure elements comes out at -124 meV/atom.

=====

Record 2
Here is a relaxed structure of Sr2Be2Ni from Alexandria. Energies are from GGA-PBE.

Cell lengths 5.8400, 5.8400, 5.3256 Å; angles 56.75, 56.75, 90.00 degrees
Closest atoms and distances in Å follow each position.
Sites, in units of the cell vectors:
Sr1 0.7500 0.2500 0.5000  4 Be 2.98
Sr2 0.2500 0.7500 0.5000  4 Be 2.98
Be1 0.3415 0.3415 0.3170  1 Be 2.13, 1 Ni 2.30
Be2 0.6585 0.6585 0.6830  1 Be 2.13, 1 Ni 2.30
Ni1 0.0000 0.0000 0.0000  2 Be 2.30

Summary:
The uncorrected energy is -14.277 eV per formula unit. Its space-group type is I4/mmm. Its magnetization is 0.00 μB per cell. As for the density of states at the Fermi level: 3.5 states/eV/cell. The energy of formation from the pure elements comes out at 464 meV/atom.

=====

Record 3
Here is a relaxed structure of LuTlO3 from Alexandria. Energies are from GGA-PBE.

Cell lengths 5.7215, 5.7979, 8.4064 Å; angles 90.00, 90.00, 90.00 degrees
Closest atoms and distances in Å follow each position.
Sites, in units of the cell vectors:
Lu1 0.5000 0.0000 0.0000  6 O 2.19-2.27
Lu2 0.5000 0.0000 0.5000  6 O 2.19-2.27
Lu3 0.0000 0.5000 0.0000  6 O 2.19-2.27
Lu4 0.0000 0.5000 0.5000  6 O 2.19-2.27
Tl1 0.9888 0.0451 0.2500  4 O 2.21-2.35
Tl2 0.4888 0.4549 0.7500  4 O 2.21-2.35
Tl3 0.5112 0.5451 0.2500  4 O 2.21-2.35
Tl4 0.0112 0.9549 0.7500  4 O 2.21-2.35
O1 0.6231 0.0867 0.7500  2 Tl 2.27-2.35, 2 Lu 2.27
O2 0.1753 0.1787 0.5694  2 Lu 2.19-2.21, 1 Tl 2.21
O3 0.1753 0.1787 0.9306  2 Lu 2.19-2.21, 1 Tl 2.21
O4 0.6753 0.3213 0.4306  2 Lu 2.19-2.21, 1 Tl 2.21
O5 0.6753 0.3213 0.0694  2 Lu 2.19-2.21, 1 Tl 2.21
O6 0.1231 0.4133 0.2500  2 Tl 2.27-2.35, 2 Lu 2.27
O7 0.8769 0.5867 0.7500  2 Tl 2.27-2.35, 2 Lu 2.27
O8 0.3247 0.6787 0.5694  2 Lu 2.19-2.21, 1 Tl 2.21
O9 0.3247 0.6787 0.9306  2 Lu 2.19-2.21, 1 Tl 2.21
O10 0.8247 0.8213 0.0694  2 Lu 2.19-2.21, 1 Tl 2.21
O11 0.8247 0.8213 0.4306  2 Lu 2.19-2.21, 1 Tl 2.21
O12 0.3769 0.9133 0.2500  2 Tl 2.27-2.35, 2 Lu 2.27

Summary:
The uncorrected energy is -32.318 eV per formula unit. The calculation puts the uncorrected formation energy at -10.6 eV per formula unit. Its space-group type is Pnma. Its magnetization is 0.00 μB per cell.

=====

Record 4
Here is a relaxed structure of CrBAsSe2 from Alexandria. Energies are from GGA-PBE.

Cell lengths 4.7741, 4.7741, 4.6616 Å; angles 90.00, 90.00, 90.00 degrees
Closest atoms and distances in Å follow each position.
Sites, in units of the cell vectors:
Cr1 0.0000 0.0000 0.0000  2 As 2.33, 4 Se 2.39
As1 0.0000 0.0000 0.5000  2 Cr 2.33
B1 0.5000 0.5000 0.5000  8 Se 3.34, 4 As 3.38
Se1 0.0000 0.5000 0.0000  2 Cr 2.39
Se2 0.5000 0.0000 0.0000  2 Cr 2.39

Summary:
The uncorrected energy is -22.382 eV per formula unit. The calculation puts the uncorrected formation energy at 5.5 eV per formula unit. Its space-group type is P4/mmm. Its magnetization is 1.36 μB per cell. As for the density of states at the Fermi level: 4.7 states/eV/cell.